No. 1
A plane-wave DFT calculation with PBE was carried out for IrAu5 after structural relaxation.

```
data_IrAu5
_chemical_formula_sum 'Ir1 Au5'
_cell_length_a 5.3211
_cell_length_b 5.3211
_cell_length_c 4.8366
_cell_angle_alpha 90.00
_cell_angle_beta 90.00
_cell_angle_gamma 120.00
_symmetry_space_group_name_H-M 'P 6/m m m'
_symmetry_Int_Tables_number 191
_symmetry_space_group_name_Hall '-P 6 2'
loop_
_atom_site_label
_atom_site_type_symbol
_atom_site_fract_x
_atom_site_fract_y
_atom_site_fract_z
Ir1 Ir 0.0000 0.0000 0.0000
Au1 Au 0.0000 0.5000 0.5000
Au2 Au 0.3333 0.6667 0.0000
```

Computed properties:
Density, g/cm3: 16.48
Distance to the lowest polymorph of the same formula, eV/atom: 0.4711

---

No. 2
A plane-wave DFT calculation with PBE was carried out for Ir5Au after structural relaxation.

```
data_Ir5Au
_chemical_formula_sum 'Ir20 Au4'
_cell_length_a 7.3029
_cell_length_b 7.3029
_cell_length_c 7.3029
_cell_angle_alpha 90.00
_cell_angle_beta 90.00
_cell_angle_gamma 90.00
_symmetry_space_group_name_H-M 'F -4 3 m'
_symmetry_Int_Tables_number 216
_symmetry_space_group_name_Hall 'F -4 2 3'
loop_
_atom_site_label
_atom_site_type_symbol
_atom_site_fract_x
_atom_site_fract_y
_atom_site_fract_z
Ir1 Ir 0.0000 0.0000 0.0000
Ir2 Ir 0.1252 0.1252 0.3748
Au1 Au 0.2500 0.2500 0.7500
```

Computed properties:
Density, g/cm3: 19.75
Distance to the lowest polymorph of the same formula, eV/atom: 0.5144

---

No. 3
A plane-wave DFT calculation with PBE was carried out for IrAu2 after structural relaxation.

```
data_IrAu2
_chemical_formula_sum 'Ir4 Au8'
_cell_length_a 5.7998
_cell_length_b 4.0338
_cell_length_c 8.6868
_cell_angle_alpha 90.00
_cell_angle_beta 90.00
_cell_angle_gamma 90.00
_symmetry_space_group_name_H-M 'P n m a'
_symmetry_Int_Tables_number 62
loop_
_symmetry_equiv_pos_as_xyz
'x,y,z'
'-x,-y,-z'
'-x+1/2,-y,z+1/2'
'x+1/2,y,-z+1/2'
'x+1/2,-y+1/2,-z+1/2'
'-x+1/2,y+1/2,z+1/2'
'-x,y+1/2,-z'
'x,-y+1/2,z'
loop_
_atom_site_label
_atom_site_type_symbol
_atom_site_fract_x
_atom_site_fract_y
_atom_site_fract_z
Ir1 Ir 0.0970 0.2500 0.0703
Au1 Au 0.1131 0.2500 0.4118
Au2 Au 0.1413 0.2500 0.7460
```

Computed properties:
Density, g/cm3: 19.16
Distance to the lowest polymorph of the same formula, eV/atom: 0.1216

---

No. 4
A plane-wave DFT calculation with PBE was carried out for IrAu2 after structural relaxation.

```
data_IrAu2
_chemical_formula_sum 'Ir4 Au8'
_cell_length_a 4.2103
_cell_length_b 12.2286
_cell_length_c 3.9490
_cell_angle_alpha 90.00
_cell_angle_beta 90.00
_cell_angle_gamma 90.00
_symmetry_space_group_name_H-M 'C m c m'
_symmetry_Int_Tables_number 63
_symmetry_space_group_name_Hall '-C 2c 2'
loop_
_atom_site_label
_atom_site_type_symbol
_atom_site_fract_x
_atom_site_fract_y
_atom_site_fract_z
Ir1 Ir 0.0000 0.0707 0.2500
Au1 Au 0.0000 0.2475 0.7500
Au2 Au 0.0000 0.4149 0.2500
```

Computed properties:
Density, g/cm3: 19.15
Distance to the lowest polymorph of the same formula, eV/atom: 0.1184

---

No. 5
A plane-wave DFT calculation with PBE was carried out for IrAu4 after structural relaxation.

```
data_IrAu4
_chemical_formula_sum 'Ir2 Au8'
_cell_length_a 6.4570
_cell_length_b 6.4570
_cell_length_c 4.1499
_cell_angle_alpha 90.00
_cell_angle_beta 90.00
_cell_angle_gamma 90.00
_symmetry_space_group_name_H-M 'I 4/m'
_symmetry_Int_Tables_number 87
_symmetry_space_group_name_Hall '-I 4'
loop_
_atom_site_label
_atom_site_type_symbol
_atom_site_fract_x
_atom_site_fract_y
_atom_site_fract_z
Ir1 Ir 0.0000 0.0000 0.0000
Au1 Au 0.1030 0.2971 0.5000
```

Computed properties:
Density, g/cm3: 18.81
Distance to the lowest polymorph of the same formula, eV/atom: 0.0000

---

No. 6
A plane-wave DFT calculation with PBE was carried out for Ir5Au after structural relaxation.

```
data_Ir5Au
_chemical_formula_sum 'Ir10 Au2'
_cell_length_a 10.3120
_cell_length_b 2.7652
_cell_length_c 6.6212
_cell_angle_alpha 90.00
_cell_angle_beta 105.73
_cell_angle_gamma 90.00
_symmetry_space_group_name_H-M 'C 1 m 1'
_symmetry_Int_Tables_number 8
loop_
_symmetry_equiv_pos_as_xyz
'x,y,z'
'x,-y,z'
'x+1/2,y+1/2,z'
'x+1/2,-y+1/2,z'
loop_
_atom_site_label
_atom_site_type_symbol
_atom_site_fract_x
_atom_site_fract_y
_atom_site_fract_z
Ir1 Ir 0.0000 0.0000 0.0000
Ir2 Ir 0.0544 0.0000 0.6257
Ir3 Ir 0.2286 0.5000 0.9441
Ir4 Ir 0.3424 0.0000 0.6830
Ir5 Ir 0.4021 0.0000 0.2805
Au1 Au 0.1773 0.5000 0.3407
```

Computed properties:
Density, g/cm3: 21.16
Distance to the lowest polymorph of the same formula, eV/atom: 0.0000

---

Number 1: ΔE_f 681 meV/atom. Number 2: ΔE_f 758 meV/atom. Number 3: ΔE_f 379 meV/atom. Number 4: ΔE_f 376 meV/atom. Number 5: ΔE_f 293 meV/atom. Number 6: ΔE_f 243 meV/atom.